No. 1
A geometry-optimized CdGe3N structure. Source: Alexandria, functional PBE.

The excess energy over the best structure of this formula in the dataset comes out at 0.00 eV per formula unit. As for the space group: Pm-3m, No. 221. For the total magnetic moment, the calculation gives 0.00 μB per formula unit. The calculation puts the uncorrected formation energy at 0.624 eV/atom.

Cell and atoms, written as POSCAR:
```
CdGe3N
1.0
-4.082 -1.724 0.629
1.696 -4.130 -0.309
0.700 -0.044 4.421
Ge N Cd
3 1 1
Cartesian
0.848 -2.065 -0.155
-2.041 -0.862 0.315
0.350 -0.022 2.210
0.000 0.000 0.000
-0.843 -2.949 2.370
```

***

No. 2
A geometry-optimized NiMoSCl2 structure. Source: Alexandria, functional PBE.

The excess energy over the best structure of this formula in the dataset comes out at 0.76 eV per formula unit. As for the space group: P4/mmm, No. 123. For the total magnetic moment, the calculation gives 3.04 μB per formula unit. The calculation puts the uncorrected formation energy at 0.546 eV/atom.

Cell and atoms, written as POSCAR:
```
NiMoSCl2
1.0
4.230 0.000 0.000
0.000 5.742 0.000
0.000 0.000 4.230
Cl Ni S Mo
2 1 1 1
Cartesian
0.000 0.000 2.115
2.115 0.000 0.000
0.000 0.000 0.000
2.115 2.871 2.115
0.000 2.871 0.000
```

***

DOS at the Fermi energy (states/eV/atom)
0.875; 0.610